(1)
## KGaAs2Se (SCAN)

Data for a crystal of KGaAs2Se relaxed with PBEsol.

Output
Raw formation energy   1317 meV per atom
Calculated volume   31.467 A^3/atom

a = 5.366 Å, b = 5.366 Å, c = 5.464 Å
α = 90.00°, β = 90.00°, γ = 90.00°
Site moments in Bohr magnetons follow the coordinates.
Element x y z (fractional)
K  0.000  0.000  0.000  0.05
As  0.000  0.500  0.000  0.36
As  0.500  0.000  0.000  0.36
Ga  0.500  0.500  0.500  0.01
Se  0.000  0.000  0.500  0.02

(2)
## LiGaAs3 (SCAN)

Data for a crystal of LiGaAs3 relaxed with PBEsol.

Output
Calculated volume   23.612 A^3/atom
Energy of formation from the pure elements   2.5 eV per formula unit

a = 4.906 Å, b = 4.906 Å, c = 4.906 Å
α = 90.00°, β = 90.00°, γ = 90.00°
Element x y z (fractional)
As  0.000  0.500  0.000
As  0.000  0.000  0.500
As  0.500  0.000  0.000
Ga  0.000  0.000  0.000
Li  0.500  0.500  0.500

(3)
## Li3GaAs (SCAN)

Data for a crystal of Li3GaAs relaxed with PBEsol.

Output
Calculated volume   21.213 A^3/atom
Energy of formation from the pure elements   -1.1 eV per formula unit

a = 4.734 Å, b = 4.734 Å, c = 4.734 Å
α = 90.00°, β = 90.00°, γ = 90.00°
Element x y z (fractional)
As  0.000  0.000  0.000
Ga  0.500  0.500  0.500
Li  0.000  0.500  0.000
Li  0.000  0.000  0.500
Li  0.500  0.000  0.000

(4)
## LiGaAsSe2 (SCAN)

Data for a crystal of LiGaAsSe2 relaxed with PBEsol.

Output
Raw formation energy   359 meV per atom
Calculated volume   20.038 A^3/atom

a = 4.487 Å, b = 4.725 Å, c = 4.725 Å
α = 90.00°, β = 90.00°, γ = 90.00°
Element x y z (fractional)
As  0.500  0.000  0.000
Ga  0.500  0.500  0.500
Se  0.000  0.000  0.500
Se  0.000  0.500  0.000
Li  0.000  0.000  0.000

(5)
## LiGa2SnAs (SCAN)

Data for a crystal of LiGa2SnAs relaxed with PBEsol.

Output
Calculated volume   20.297 A^3/atom
Energy of formation from the pure elements   1.5 eV per formula unit

a = 4.636 Å, b = 4.679 Å, c = 4.679 Å
α = 90.00°, β = 90.00°, γ = 90.00°
Element x y z (fractional)
As  0.500  0.000  0.000
Sn  0.500  0.500  0.500
Ga  0.000  0.000  0.500
Ga  0.000  0.500  0.000
Li  0.000  0.000  0.000

(6)
## LiYGa2As (SCAN)

Data for a crystal of LiYGa2As relaxed with PBEsol.

Output
Calculated volume   26.136 A^3/atom
Energy of formation from the pure elements   0.3 eV per formula unit

a = 4.971 Å, b = 4.971 Å, c = 5.288 Å
α = 90.00°, β = 90.00°, γ = 90.00°
Element x y z (fractional)
Y  0.000  0.000  0.500
As  0.000  0.000  0.000
Ga  0.000  0.500  0.000
Ga  0.500  0.000  0.000
Li  0.500  0.500  0.500

(7)
## MgGaAs3 (SCAN)

Data for a crystal of MgGaAs3 relaxed with PBEsol.

Output
Calculated volume   24.040 A^3/atom
Energy of formation from the pure elements   3.7 eV per formula unit

a = 4.935 Å, b = 4.935 Å, c = 4.935 Å
α = 90.00°, β = 90.00°, γ = 90.00°
Element x y z (fractional)
As  0.000  0.500  0.000
As  0.000  0.000  0.500
As  0.500  0.000  0.000
Mg  0.000  0.000  0.000
Ga  0.500  0.500  0.500

(8)
## Mg2GaNiAs (SCAN)

Data for a crystal of Mg2GaNiAs relaxed with PBEsol.

Output
Calculated volume   22.996 A^3/atom
Energy of formation from the pure elements   3.2 eV per formula unit

a = 4.828 Å, b = 4.828 Å, c = 4.932 Å
α = 90.00°, β = 90.00°, γ = 90.00°
Element x y z (fractional)
Ni  0.500  0.500  0.500
As  0.000  0.000  0.000
Mg  0.000  0.500  0.000
Mg  0.500  0.000  0.000
Ga  0.000  0.000  0.500